[1]
# Al2TlGe | Alexandria | PBE | relaxed
# relative energy among the computed polymorphs = 48 kJ/mol of formula units
# Fermi-level density of states = 1.972 states/eV/f.u.
# energy of formation from the pure elements = 0.31 eV per atom
# mass density = 6.51 g cm⁻³
data_Al2TlGe
_space_group_name_H-M_alt 'P 1'
_space_group_IT_number 1
_cell_length_a 4.9239
_cell_length_b 4.9239
_cell_length_c 4.9239
_cell_angle_alpha 60.00
_cell_angle_beta 60.00
_cell_angle_gamma 60.00
loop_
_space_group_symop_operation_xyz
'x,y,z'
loop_
_atom_site_label
_atom_site_fract_x
_atom_site_fract_y
_atom_site_fract_z
Al1 0.2500 0.2500 0.2500
Al2 0.7500 0.7500 0.7500
Tl1 0.0000 0.0000 0.0000
Ge1 0.5000 0.5000 0.5000

---

[2]
# AlTlGe3 | Alexandria | PBE | relaxed
# relative energy among the computed polymorphs = 0 kJ/mol of formula units
# Fermi-level density of states = 2.883 states/eV/f.u.
# energy of formation from the pure elements = 0.47 eV per atom
# mass density = 6.05 g cm⁻³
data_AlTlGe3
_space_group_name_H-M_alt 'P 1'
_space_group_IT_number 1
_cell_length_a 4.9781
_cell_length_b 4.9781
_cell_length_c 4.9781
_cell_angle_alpha 90.00
_cell_angle_beta 90.00
_cell_angle_gamma 90.00
loop_
_space_group_symop_operation_xyz
'x,y,z'
loop_
_atom_site_label
_atom_site_fract_x
_atom_site_fract_y
_atom_site_fract_z
Al1 0.0000 0.0000 0.0000
Tl1 0.5000 0.5000 0.5000
Ge1 0.0000 0.0000 0.5000
Ge2 0.0000 0.5000 0.0000
Ge3 0.5000 0.0000 0.0000

---

Q: Look up the mass density of the first one.
A: 6.51 g cm⁻³

---

Q: Among the records above, which one has the lowest Fermi-level density of states?
A: Al2TlGe